The following is a PBE calculation of crystalline CaAc8Pr6 at its relaxed geometry, from the Alexandria database.

Calculated values
- formation enthalpy at 0 K (eV/f.u.) = 3.33
- calculated total energy (eV per atom) = -4.014
- mass density (g cm⁻³) = 6.8
- calculated volume (Å³ per cell) = 658
- total magnetic moment (μB per formula unit) = 0.0
- DOS(E_F) (states/eV per atom) = 1.546
- SG = R-3

extended XYZ file:
```
15
Lattice="5.1455 2.9708 7.1781 -5.1455 2.9708 7.1781 0.0000 -5.9415 7.1781" Properties=species:S:1:pos:R:3 pbc="T T T"
Ca 0.0000 0.0000 0.0000
Ac -3.5456 0.3725 9.8315
Ac -2.0954 -2.8844 11.7029
Ac 0.0000 0.0000 5.6762
Ac 1.4502 -3.2569 9.8315
Ac -1.4502 3.2569 11.7028
Ac 0.0000 0.0000 15.8582
Ac 2.0954 2.8844 9.8315
Ac 3.5456 -0.3725 11.7028
Pr -1.5694 -2.6409 8.0332
Pr -3.0717 0.0387 13.5011
Pr -1.5024 2.6796 8.0332
Pr 1.5024 -2.6796 13.5011
Pr 3.0717 -0.0387 8.0332
Pr 1.5694 2.6409 13.5011
```

The following is a PBE calculation of crystalline SrSiSb3 at its relaxed geometry, from the Alexandria database.

Calculated values
- calculated total energy (eV per atom) = -3.856
- mass density (g cm⁻³) = 5.2
- calculated volume (Å³ per cell) = 153
- energy above the lowest structure with this stoichiometry (eV per atom) = 0.000
- total magnetic moment (μB per formula unit) = 0.0
- DOS(E_F) (states/eV per atom) = 0.962
- raw formation energy (eV per formula unit) = 0.2
- SG = Pm-3m

extended XYZ file:
```
5
Lattice="5.3501 0.0000 0.0000 0.0000 5.3501 0.0000 0.0000 0.0000 5.3501" Properties=species:S:1:pos:R:3 pbc="T T T"
Sr 0.0000 0.0000 0.0000
Si 2.6751 2.6751 2.6751
Sb 0.0000 2.6751 2.6751
Sb 2.6751 0.0000 2.6751
Sb 2.6751 2.6751 0.0000
```